(1)
The following is a GGA-PBE calculation of a geometry-optimized SrTlN3 structure, from the Alexandria database.

Summary:
- SG = Pm-3m (221)

Cell: 4.865 4.865 4.865 Å, 90.00 90.00 90.00°
Each line ends with the local moment (μB).
Positions (direct):
Sr1 0.000 0.000 0.000  0.10
Tl1 0.500 0.500 0.500  0.03
N1 0.000 0.500 0.000  1.39
N2 0.000 0.000 0.500  1.48
N3 0.500 0.000 0.000  1.09

=====

(2)
The following is a GGA-PBE calculation of a geometry-optimized Sr7TlN2 structure, from the Alexandria database.

Summary:
- SG = Cmmm (65)

Cell: 4.205 10.739 10.739 Å, 130.61 90.00 90.00°
Positions (direct):
Sr1 0.000 0.701 0.299
Sr2 0.000 0.299 0.701
Sr3 0.500 0.094 0.338
Sr4 0.500 0.906 0.662
Sr5 0.500 0.338 0.094
Sr6 0.500 0.662 0.906
Sr7 0.500 0.500 0.500
Tl1 0.000 0.000 0.000
N1 0.500 0.629 0.371
N2 0.500 0.371 0.629

=====

(3)
The following is a GGA-PBE calculation of a geometry-optimized SrTlN2 structure, from the Alexandria database.

Summary:
- SG = R-3m (166)
- energy relative to the lowest polymorph listed for this composition (kJ/mol of formula units) = 269.9

Cell: 7.226 7.226 7.226 Å, 30.09 30.09 30.09°
Each line ends with the local moment (μB).
Positions (direct):
Sr1 0.000 0.000 0.000  -0.02
Tl1 0.500 0.500 0.500  -0.01
N1 0.886 0.886 0.886  0.53
N2 0.114 0.114 0.114  0.53

=====

(4)
The following is a GGA-PBE calculation of a geometry-optimized SrY2TlN structure, from the Alexandria database.

Summary:
- SG = P4/mmm (123)
- energy relative to the lowest polymorph listed for this composition (kJ/mol of formula units) = 0.0

Cell: 4.878 4.878 5.169 Å, 90.00 90.00 90.00°
Positions (direct):
Y1 0.000 0.500 0.000
Y2 0.500 0.000 0.000
Sr1 0.000 0.000 0.500
Tl1 0.500 0.500 0.500
N1 0.000 0.000 0.000

=====

(5)
The following is a GGA-PBE calculation of a geometry-optimized SrYTlN2 structure, from the Alexandria database.

Summary:
- SG = P4/mmm (123)

Cell: 4.652 4.652 6.154 Å, 90.00 90.00 90.00°
Each line ends with the local moment (μB).
Positions (direct):
Y1 0.000 0.000 0.500  0.20
Sr1 0.000 0.000 0.000  0.04
Tl1 0.500 0.500 0.500  -0.01
N1 0.000 0.500 0.000  0.08
N2 0.500 0.000 0.000  0.08

=====

(6)
The following is a GGA-PBE calculation of a geometry-optimized SrZrTlN2 structure, from the Alexandria database.

Summary:
- SG = P4/mmm (123)

Cell: 4.508 6.293 4.508 Å, 90.00 90.00 90.00°
Each line ends with the local moment (μB).
Positions (direct):
Sr1 0.000 0.000 0.000  0.04
Tl1 0.500 0.500 0.500  0.03
Zr1 0.000 0.500 0.000  0.89
N1 0.000 0.000 0.500  0.15
N2 0.500 0.000 0.000  0.15

=====

Energy relative to the elements, uncorrected? In order: 878; -280; 442; -371; 766; 928 kJ/mol of formula units.